Entry 1:
The following is a PBE-GGA calculation of a geometry-optimized TmZnNiSn structure, from the Alexandria database.

```
TmZnNiSn
1.0
0.0000 3.3092 3.3092
3.3092 0.0000 3.3092
3.3092 3.3092 0.0000
Tm Zn Ni Sn
1 1 1 1
Direct
0.0000 0.0000 0.0000
0.7500 0.7500 0.7500
0.2500 0.2500 0.2500
0.5000 0.5000 0.5000
```

- M_tot: 0.00 μB/f.u.
- Total DFT energy (no corrections): -4.244 eV per atom
- Density: 9.433 g cm⁻³
- Space group: No. 216


Entry 2:
The following is a PBE-GGA calculation of a geometry-optimized KSrCu2Re structure, from the Alexandria database.

```
KSrCu2Re
1.0
4.9597 0.0000 0.0000
0.0000 4.9597 0.0000
0.0000 0.0000 5.6253
K Sr Cu Re
1 1 2 1
Direct
0.0000 0.0000 0.0000
0.0000 0.0000 0.5000
0.0000 0.5000 0.0000
0.5000 0.0000 0.0000
0.5000 0.5000 0.5000
```

- M_tot: 3.37 μB/f.u.
- Total DFT energy (no corrections): -2.560 eV per atom
- Density: 5.280 g cm⁻³
- Space group: No. 123


Entry 3:
The following is a PBE-GGA calculation of a geometry-optimized Sc4NbN2 structure, from the Alexandria database.

```
Sc4NbN2
1.0
-2.5014 2.5014 5.5152
2.5014 -2.5014 5.5152
2.5014 2.5014 -5.5152
Sc Nb N
4 1 2
Direct
0.0000 0.5000 0.5000
0.2340 0.2340 0.0000
0.5000 0.0000 0.5000
0.7660 0.7660 0.0000
0.5000 0.5000 0.0000
0.0587 0.0587 0.0000
0.9413 0.9413 0.0000
```

- M_tot: 0.41 μB/f.u.
- Total DFT energy (no corrections): -7.327 eV per atom
- Density: 3.618 g cm⁻³
- Raw formation energy: 0.108 eV/atom
- Space group: No. 139


Entry 4:
The following is a PBE-GGA calculation of a geometry-optimized Hf6Ga2Te structure, from the Alexandria database.

```
Hf6Ga2Te
1.0
8.5089 0.0000 0.0000
0.0000 8.8665 0.0000
0.0000 0.0000 4.9255
Hf Ga Te
12 4 2
Direct
0.0041 0.1700 0.0000
0.1567 0.5942 0.5000
0.1672 0.9304 0.5000
0.3328 0.4304 0.0000
0.3433 0.0942 0.0000
0.4959 0.6700 0.5000
0.5041 0.3300 0.5000
0.6567 0.9058 0.0000
0.6672 0.5696 0.0000
0.8328 0.0696 0.5000
0.8433 0.4058 0.5000
0.9959 0.8300 0.0000
0.1713 0.2563 0.5000
0.3287 0.7563 0.0000
0.6713 0.2437 0.0000
0.8287 0.7437 0.5000
0.0000 0.5000 0.0000
0.5000 0.0000 0.5000
```

- M_tot: 0.00 μB/f.u.
- Total DFT energy (no corrections): -7.931 eV per atom
- Density: 11.958 g cm⁻³
- Raw formation energy: -0.273 eV/atom
- Space group: No. 58


Entry 5:
The following is a PBE-GGA calculation of a geometry-optimized Pa3NbN6O2 structure, from the Alexandria database.

```
Pa3NbN6O2
1.0
5.6986 -3.4473 0.0000
5.6986 3.4473 0.0000
-0.0993 0.0000 4.7123
Pa Nb N O
3 1 6 2
Direct
0.0000 0.0000 0.0000
0.0000 0.5000 0.5000
0.5000 0.0000 0.5000
0.5000 0.5000 0.5000
0.1825 0.6766 0.2773
0.3234 0.8175 0.7227
0.3350 0.3350 0.6868
0.6650 0.6650 0.3132
0.6766 0.1825 0.2773
0.8175 0.3234 0.7227
0.1701 0.1701 0.2401
0.8299 0.8299 0.7599
```

- M_tot: 2.00 μB/f.u.
- Total DFT energy (no corrections): -9.615 eV per atom
- Density: 8.090 g cm⁻³
- Raw formation energy: -1.413 eV/atom
- Space group: No. 12


Entry 6:
The following is a PBE-GGA calculation of a geometry-optimized Li2SnSb2 structure, from the Alexandria database.

```
Li2SnSb2
1.0
8.6168 0.0000 0.0000
0.0000 8.6168 0.0000
0.0000 0.0000 3.1459
Li Sn Sb
4 2 4
Direct
0.1206 0.3794 0.0000
0.3794 0.8794 0.0000
0.6206 0.1206 0.0000
0.8794 0.6206 0.0000
0.0000 0.0000 0.5000
0.5000 0.5000 0.5000
0.1750 0.6750 0.5000
0.3250 0.1750 0.5000
0.6750 0.8250 0.5000
0.8250 0.3250 0.5000
```

- M_tot: 0.00 μB/f.u.
- Energy above the most stable polymorph in this dataset: 0.0 meV/atom
- Total DFT energy (no corrections): -3.537 eV per atom
- Density: 5.348 g cm⁻³
- Raw formation energy: -0.322 eV/atom
- Space group: No. 127